1.
Density functional theory data (meta-GGA SCAN) for ScInPd2 at its PBEsol-relaxed geometry.

Values from the calculation:
The formation energy is -903 meV per atom. The value obtained for the density of states at the Fermi level is 0.48 states/eV per atom.

Cell and atoms, written as POSCAR:
```
ScInPd2
1.0
6.4769 0.0000 0.0000
0.0000 6.4769 0.0000
0.0000 0.0000 6.4769
Sc In Pd
4 4 8
Direct
0.0000 0.0000 0.0000
0.0000 0.5000 0.5000
0.5000 0.0000 0.5000
0.5000 0.5000 0.0000
0.0000 0.0000 0.5000
0.0000 0.5000 0.0000
0.5000 0.0000 0.0000
0.5000 0.5000 0.5000
0.2500 0.2500 0.2500
0.2500 0.2500 0.7500
0.2500 0.7500 0.2500
0.2500 0.7500 0.7500
0.7500 0.2500 0.2500
0.7500 0.2500 0.7500
0.7500 0.7500 0.2500
0.7500 0.7500 0.7500
```

***

2.
Density functional theory data (meta-GGA SCAN) for ScInPd2 at its PBEsol-relaxed geometry.

Values from the calculation:
The formation energy is -823 meV per atom. The value obtained for the density of states at the Fermi level is 0.43 states/eV per atom.

Cell and atoms, written as POSCAR:
```
ScInPd2
1.0
3.2903 0.0000 0.0000
0.0000 3.2903 0.0000
0.0000 0.0000 6.3524
Sc In Pd
1 1 2
Direct
0.0000 0.0000 0.0000
0.0000 0.0000 0.5000
0.5000 0.5000 0.2437
0.5000 0.5000 0.7563
```

***

3.
Density functional theory data (meta-GGA SCAN) for Sc2InPd2 at its PBEsol-relaxed geometry.

Values from the calculation:
The formation energy is -659 meV per atom. The value obtained for the density of states at the Fermi level is 0.51 states/eV per atom.

Cell and atoms, written as POSCAR:
```
Sc2InPd2
1.0
5.0291 0.0000 0.0000
0.0000 5.0291 0.0000
0.0000 0.0000 8.0043
Sc In Pd
4 2 4
Direct
0.0000 0.5000 0.2500
0.0000 0.5000 0.7500
0.5000 0.0000 0.2500
0.5000 0.0000 0.7500
0.0000 0.0000 0.0000
0.5000 0.5000 0.5000
0.0000 0.0000 0.3472
0.0000 0.0000 0.6528
0.5000 0.5000 0.1528
0.5000 0.5000 0.8472
```

***

4.
Density functional theory data (meta-GGA SCAN) for InPdSe2 at its PBEsol-relaxed geometry.

Values from the calculation:
The calculation puts the uncorrected formation energy at -0.207 eV/atom. The value obtained for the density of states at the Fermi level is 0.46 states/eV per atom.

Cell and atoms, written as POSCAR:
```
InPdSe2
1.0
3.6358 0.0000 0.0000
-1.8179 3.1487 0.0000
0.0000 0.0000 25.4239
In Pd Se
3 3 6
Direct
0.0000 0.0000 0.0000
0.3333 0.6667 0.6667
0.6667 0.3333 0.3333
0.0000 0.0000 0.5000
0.3333 0.6667 0.1667
0.6667 0.3333 0.8333
0.0000 0.0000 0.1136
0.0000 0.0000 0.8864
0.3333 0.6667 0.5531
0.3333 0.6667 0.7802
0.6667 0.3333 0.2198
0.6667 0.3333 0.4469
```

***

5.
Density functional theory data (meta-GGA SCAN) for In4Pd17Se4 at its PBEsol-relaxed geometry.

Values from the calculation:
The calculation puts the uncorrected formation energy at -0.416 eV/atom. The value obtained for the density of states at the Fermi level is 0.42 states/eV per atom.

Cell and atoms, written as POSCAR:
```
In4Pd17Se4
1.0
-7.1405 7.1405 1.9822
7.1405 -7.1405 1.9822
7.1405 7.1405 -1.9822
In Pd Se
4 17 4
Direct
0.1161 0.1616 0.2777
0.1616 0.8839 0.0455
0.8384 0.1161 0.9545
0.8839 0.8384 0.7223
0.0000 0.0000 0.0000
0.0449 0.7272 0.7721
0.1982 0.5923 0.7905
0.2470 0.3157 0.5627
0.2728 0.0449 0.3176
0.3157 0.7530 0.0687
0.3631 0.4788 0.8419
0.4077 0.1982 0.6059
0.4788 0.6369 0.1156
0.5212 0.3631 0.8844
0.5923 0.8018 0.3941
0.6369 0.5212 0.1581
0.6843 0.2470 0.9313
0.7272 0.9551 0.6824
0.7530 0.6843 0.4373
0.8018 0.4077 0.2095
0.9551 0.2728 0.2279
0.1215 0.4309 0.5525
0.4309 0.8785 0.3094
0.5691 0.1215 0.6906
0.8785 0.5691 0.4475
```

***

6.
Density functional theory data (meta-GGA SCAN) for InPd5Se at its PBEsol-relaxed geometry.

Values from the calculation:
The calculation puts the uncorrected formation energy at -0.394 eV/atom. The value obtained for the density of states at the Fermi level is 0.42 states/eV per atom.

Cell and atoms, written as POSCAR:
```
InPd5Se
1.0
4.0056 0.0000 0.0000
0.0000 4.0056 0.0000
0.0000 0.0000 7.0073
In Pd Se
1 5 1
Direct
0.0000 0.0000 0.0000
0.0000 0.5000 0.2816
0.0000 0.5000 0.7184
0.5000 0.0000 0.2816
0.5000 0.0000 0.7184
0.5000 0.5000 0.0000
0.5000 0.5000 0.5000
```

***

7.
Density functional theory data (meta-GGA SCAN) for In2Pd8Se at its PBEsol-relaxed geometry.

Values from the calculation:
The calculation puts the uncorrected formation energy at -0.428 eV/atom. The value obtained for the density of states at the Fermi level is 0.28 states/eV per atom.

Cell and atoms, written as POSCAR:
```
In2Pd8Se
1.0
3.9911 0.0000 0.0000
0.0000 3.9911 0.0000
0.0000 0.0000 10.9430
In Pd Se
2 8 1
Direct
0.0000 0.0000 0.1773
0.0000 0.0000 0.8227
0.0000 0.5000 0.0000
0.0000 0.5000 0.3605
0.0000 0.5000 0.6395
0.5000 0.0000 0.0000
0.5000 0.0000 0.3605
0.5000 0.0000 0.6395
0.5000 0.5000 0.1803
0.5000 0.5000 0.8197
0.5000 0.5000 0.5000
```

***

8.
Density functional theory data (meta-GGA SCAN) for InSiPd3 at its PBEsol-relaxed geometry.

Values from the calculation:
The calculation puts the uncorrected formation energy at -0.208 eV/atom. The value obtained for the density of states at the Fermi level is 0.26 states/eV per atom.

Cell and atoms, written as POSCAR:
```
InSiPd3
1.0
4.4700 0.0000 0.0000
0.0000 4.4700 0.0000
0.0000 0.0000 4.4700
In Si Pd
1 1 3
Direct
0.0000 0.0000 0.0000
0.5000 0.5000 0.5000
0.0000 0.5000 0.5000
0.5000 0.0000 0.5000
0.5000 0.5000 0.0000
```

***

9.
Density functional theory data (meta-GGA SCAN) for SmInPd at its PBEsol-relaxed geometry.

Values from the calculation:
The formation energy is -926 meV per atom. The value obtained for the density of states at the Fermi level is 0.76 states/eV per atom.

Cell and atoms, written as POSCAR:
```
SmInPd
1.0
7.6178 0.0000 0.0000
-3.8089 6.5972 0.0000
0.0000 0.0000 3.9038
Sm In Pd
3 3 3
Direct
0.0000 0.4105 0.0000
0.4105 0.0000 0.0000
0.5895 0.5895 0.0000
0.0000 0.7446 0.5000
0.2554 0.2554 0.5000
0.7446 0.0000 0.5000
0.0000 0.0000 0.0000
0.3333 0.6667 0.5000
0.6667 0.3333 0.5000
```

***

10.
Density functional theory data (meta-GGA SCAN) for Sm2InPd2 at its PBEsol-relaxed geometry.

Values from the calculation:
The formation energy is -944 meV per atom. The value obtained for the density of states at the Fermi level is 0.53 states/eV per atom.

Cell and atoms, written as POSCAR:
```
Sm2InPd2
1.0
7.6760 0.0000 0.0000
0.0000 7.6760 0.0000
0.0000 0.0000 3.7555
Sm In Pd
4 2 4
Direct
0.1744 0.3256 0.0000
0.3256 0.8256 0.0000
0.6744 0.1744 0.0000
0.8256 0.6744 0.0000
0.0000 0.0000 0.5000
0.5000 0.5000 0.5000
0.1272 0.6272 0.5000
0.3728 0.1272 0.5000
0.6272 0.8728 0.5000
0.8728 0.3728 0.5000
```

***

11.
Density functional theory data (meta-GGA SCAN) for Sm2In8Pd at its PBEsol-relaxed geometry.

Values from the calculation:
The formation energy is -552 meV per atom. The value obtained for the density of states at the Fermi level is 0.37 states/eV per atom.

Cell and atoms, written as POSCAR:
```
Sm2In8Pd
1.0
4.6304 0.0000 0.0000
0.0000 4.6304 0.0000
0.0000 0.0000 11.9661
Sm In Pd
2 8 1
Direct
0.0000 0.0000 0.1892
0.0000 0.0000 0.8108
0.0000 0.5000 0.0000
0.0000 0.5000 0.3746
0.0000 0.5000 0.6254
0.5000 0.0000 0.0000
0.5000 0.0000 0.3746
0.5000 0.0000 0.6254
0.5000 0.5000 0.1912
0.5000 0.5000 0.8088
0.0000 0.0000 0.5000
```

***

12.
Density functional theory data (meta-GGA SCAN) for Sr3InPd at its PBEsol-relaxed geometry.

Values from the calculation:
The formation energy is 247 meV per atom. The value obtained for the density of states at the Fermi level is 0.73 states/eV per atom.

Cell and atoms, written as POSCAR:
```
Sr3InPd
1.0
6.0780 0.0000 0.0000
0.0000 6.0780 0.0000
0.0000 0.0000 6.0780
Sr In Pd
3 1 1
Direct
0.0000 0.0000 0.5000
0.0000 0.5000 0.0000
0.5000 0.0000 0.0000
0.0000 0.0000 0.0000
0.5000 0.5000 0.5000
```

***

Calculated volume, 16.98, 17.19, 20.24, 24.25, 16.17, 16.06, 15.85, 17.86, 21.80, 22.13, 23.32, 44.91 Å³ per atom (same order as the records).
Calculated total DFT energy (no corrections), -116.8, -116.5, -130.7, -107.1, -781.4, -220.1, -353.8, -142.8, -113.4, -192.5, -394.8, -131.8 eV/f.u. (same order as the records).
Calculated mass density, 9.1, 9.0, 6.9, 6.5, 10.6, 10.7, 11.1, 8.6, 9.4, 9.4, 8.6, 3.6 g/cm3 (same order as the records).